# Li2AcSe, optimized geometry, DFT PBE
data_Li2AcSe
_cell_length_a 4.1389
_cell_length_b 4.1389
_cell_length_c 20.2515
_cell_angle_alpha 90.00
_cell_angle_beta 90.00
_cell_angle_gamma 120.00
_space_group_name_H-M_alt 'R -3 m'
_space_group_IT_number 166
_space_group_name_Hall '-R 3 2"'
loop_
_atom_site_label
_atom_site_type_symbol
_atom_site_fract_x
_atom_site_fract_y
_atom_site_fract_z
Li1 Li 0.0000 0.0000 0.2065
Ac1 Ac 0.0000 0.0000 0.0000
Se1 Se 0.0000 0.0000 0.5000
# ΔE_f (raw): -0.657 eV/atom
# E: -3.51 eV/atom